(1)
Compound: Sc5Zn
Source: the Alexandria database
Functional: PBE
Structure: relaxed

* calculated formation energy: -0.04 eV per atom
* relative energy among the computed polymorphs: 53 meV/atom
* crystal system: orthorhombic

Cell: 5.000 8.324 8.324 Å, 23.08 90.00 90.00°
Fractional coordinates of all 6 atoms:
1 Sc 0.000 0.000 0.000
2 Sc 0.000 0.324 0.324
3 Sc 0.000 0.657 0.657
4 Sc 0.500 0.204 0.204
5 Sc 0.500 0.879 0.879
6 Zn 0.500 0.547 0.547

(2)
Compound: GeB2Rh4
Source: the Alexandria database
Functional: PBE
Structure: relaxed

* calculated formation energy: -0.23 eV per atom
* crystal system: orthorhombic

Cell: 7.270 6.238 6.192 Å, 71.58 54.50 53.92°
Fractional coordinates of all 14 atoms:
1 Ge 0.125 0.125 0.125
2 Ge 0.875 0.875 0.875
3 B 0.000 0.500 0.500
4 B 0.500 0.000 0.500
5 B 0.500 0.500 0.000
6 B 0.500 0.500 0.500
7 Rh 0.213 0.720 0.350
8 Rh 0.217 0.350 0.720
9 Rh 0.280 0.787 0.783
10 Rh 0.350 0.217 0.213
11 Rh 0.650 0.783 0.787
12 Rh 0.720 0.213 0.217
13 Rh 0.783 0.650 0.280
14 Rh 0.787 0.280 0.650

(3)
Compound: CaCd2FeAg
Source: the Alexandria database
Functional: PBE
Structure: relaxed

* calculated formation energy: 1.39 eV per atom
* crystal system: tetragonal

Cell: 5.610 5.610 4.435 Å, 90.00 90.00 90.00°
Fractional coordinates of all 5 atoms:
1 Ca 0.000 0.000 0.000
2 Cd 0.000 0.500 0.000
3 Cd 0.500 0.000 0.000
4 Fe 0.000 0.000 0.500
5 Ag 0.500 0.500 0.500

(4)
Compound: HfIn2Ni
Source: the Alexandria database
Functional: PBE
Structure: relaxed

* calculated formation energy: -0.14 eV per atom
* crystal system: tetragonal

Cell: 3.146 3.146 7.548 Å, 90.00 90.00 90.00°
Fractional coordinates of all 4 atoms:
1 Hf 0.000 0.000 0.000
2 In 0.500 0.500 0.289
3 In 0.500 0.500 0.711
4 Ni 0.000 0.000 0.500

Number 1: magnetic moment 0.56 μB per formula unit. Number 2: magnetic moment 0.00 μB per formula unit. Number 3: magnetic moment 0.05 μB per formula unit. Number 4: magnetic moment 0.00 μB per formula unit.